Density functional theory data (SCAN) for a crystal of TlCdOs2 relaxed with PBEsol.

Calculated values
Size of the total moment (μB/cell): 0.0
DOS(E_F) (states/eV/atom): 1.371
DFT total energy (eV per atom): -60.477
Crystal system: cubic
Energy of formation (meV per atom): 1156
Space group: F-43m, No. 216
Theoretical density (g cm⁻³): 17.08

a b c (Å): 4.5769 4.5769 4.5769
angles (deg): 60.00 60.00 60.00
Closest atoms and distances in Å follow each position.
Atoms (fractional coordinates):
1 Tl 0.0000 0.0000 0.0000  4 Cd 2.80, 4 Os 2.80
2 Cd 0.2500 0.2500 0.2500  4 Tl 2.80, 4 Os 2.80
3 Os 0.5000 0.5000 0.5000  4 Cd 2.80, 4 Os 2.80
4 Os 0.7500 0.7500 0.7500  4 Os 2.80, 4 Tl 2.80